Record 1
Density functional theory data (PBE-GGA) for crystalline LuAl4Ag at its relaxed geometry.

## Properties
E_tot = -3.851 eV/atom

Lattice parameters (Å, degrees): 5.437 5.437 5.437 60.00 60.00 60.00
Sites, in units of the cell vectors:
Lu 0.000 0.000 0.000
Al 0.374 0.374 0.374
Al 0.374 0.374 0.877
Al 0.374 0.877 0.374
Al 0.877 0.374 0.374
Ag 0.750 0.750 0.750

---

Record 2
Density functional theory data (PBE-GGA) for crystalline LuAlAg at its relaxed geometry.

## Properties
E_tot = -3.946 eV/atom

Lattice parameters (Å, degrees): 6.033 6.033 6.033 148.16 148.16 45.65
Sites, in units of the cell vectors:
Lu 0.000 0.000 0.000
Al 0.682 0.682 0.000
Ag 0.315 0.315 0.000

---

Record 3
Density functional theory data (PBE-GGA) for crystalline LuAl2Ag at its relaxed geometry.

## Properties
E_tot = -4.010 eV/atom
ΔE to the lowest computed polymorph = 0.000 eV/atom

Lattice parameters (Å, degrees): 4.254 4.254 4.257 90.00 90.00 90.00
Sites, in units of the cell vectors:
Lu 0.000 0.000 0.000
Al 0.000 0.500 0.500
Al 0.500 0.000 0.500
Ag 0.500 0.500 0.000

---

Record 4
Density functional theory data (PBE-GGA) for crystalline LuAl2Ag at its relaxed geometry.

## Properties
E_tot = -3.925 eV/atom
ΔE to the lowest computed polymorph = 0.086 eV/atom

Lattice parameters (Å, degrees): 3.185 3.185 7.562 90.00 90.00 90.00
Sites, in units of the cell vectors:
Lu 0.000 0.000 0.000
Al 0.500 0.500 0.280
Al 0.500 0.500 0.720
Ag 0.000 0.000 0.500

---

Record 5
Density functional theory data (PBE-GGA) for crystalline LuMgAlAg at its relaxed geometry.

## Properties
E_tot = -3.453 eV/atom

Lattice parameters (Å, degrees): 4.876 4.876 4.876 60.00 60.00 60.00
Sites, in units of the cell vectors:
Lu 0.000 0.000 0.000
Mg 0.500 0.500 0.500
Al 0.750 0.750 0.750
Ag 0.250 0.250 0.250

---

Record 6
Density functional theory data (PBE-GGA) for crystalline NdLuAlAg at its relaxed geometry.

## Properties
E_tot = -4.279 eV/atom

Lattice parameters (Å, degrees): 5.192 5.192 5.192 60.00 60.00 60.00
Sites, in units of the cell vectors:
Nd 0.000 0.000 0.000
Lu 0.500 0.500 0.500
Al 0.250 0.250 0.250
Ag 0.750 0.750 0.750

---

| no. | ΔE_f (eV/atom) |
| --- | --- |
| 1 | -0.13 |
| 2 | -0.24 |
| 3 | -0.30 |
| 4 | -0.21 |
| 5 | -0.28 |
| 6 | -0.31 |